An optimized crystal structure of NpVIrO6, computed with PBE with a Hubbard U.

Cell and atoms, written as POSCAR:
```
NpVIrO6
1.0
-0.2106 -4.8972 1.9730
3.5020 1.1783 -3.7772
5.8302 2.2041 6.0931
V Np O Ir
2 2 12 2
direct
0.3333 0.6667 0.7500 V
0.6667 0.3333 0.2500 V
0.6667 0.3333 0.7500 Np
0.3333 0.6667 0.2500 Np
0.3246 0.3346 0.8740 O
0.6754 0.0101 0.3740 O
0.0101 0.3346 0.6260 O
0.9899 0.3246 0.1260 O
0.0101 0.6754 0.8740 O
0.3346 0.3246 0.3740 O
0.3346 0.0101 0.1260 O
0.9899 0.6654 0.3740 O
0.6654 0.6754 0.6260 O
0.6654 0.9899 0.8740 O
0.3246 0.9899 0.6260 O
0.6754 0.6654 0.1260 O
0.0000 0.0000 0.0000 Ir
0.0000 0.0000 0.5000 Ir
```

## Properties
Its crystal system is trigonal. The value obtained for the calculated total energy is -151.74 eV for the cell shown.